# PBE-GGA PmTmCCl, relaxed
data_PmTmCCl
_cell_length_a 3.6473
_cell_length_b 3.6473
_cell_length_c 20.9065
_cell_angle_alpha 90.00
_cell_angle_beta 90.00
_cell_angle_gamma 120.00
_symmetry_space_group_name_H-M 'R 3 m'
_symmetry_Int_Tables_number 160
_symmetry_space_group_name_Hall 'R 3 -2"'
loop_
_atom_site_label
_atom_site_type_symbol
_atom_site_fract_x
_atom_site_fract_y
_atom_site_fract_z
Pm1 Pm 0.0000 0.0000 0.0000
Tm1 Tm 0.0000 0.0000 0.7921
C1 C 0.0000 0.0000 0.4030
Cl1 Cl 0.0000 0.0000 0.2231
# formation energy from raw total energies = -1.068 eV/atom
# DOS(E_F) = 2.169 states/eV/f.u.
# magnetization = 0.00 μB/cell